a:
Ba3Sb4Pt2: relaxed, PBE-GGA.

total magnetization	0.000	μB/f.u.

a b c (Å): 12.737 4.833 9.508
angles (deg): 90.00 96.77 90.00
Space group C2/m (No. 12)
Symmetry-distinct sites (fractional):
Ba  0.000  0.000  0.000 [2 per cell]
Ba  0.163  0.500  0.660 [4 per cell]
Sb  0.054  0.000  0.368 [4 per cell]
Sb  0.210  0.500  0.068 [4 per cell]
Pt  0.114  0.500  0.298 [4 per cell]

***

b:
Ba3Sb4Pt2: relaxed, PBE-GGA.

total magnetization	0.000	μB/f.u.

a b c (Å): 12.739 4.843 9.693
angles (deg): 90.00 110.32 90.00
Space group C2/m (No. 12)
Symmetry-distinct sites (fractional):
Ba  0.000  0.000  0.000 [2 per cell]
Ba  0.113  0.500  0.680 [4 per cell]
Sb  0.130  0.000  0.408 [4 per cell]
Sb  0.218  0.500  0.077 [4 per cell]
Pt  0.182  0.500  0.334 [4 per cell]

***

Which is most stable? The ranking, best first, is a, b.

***

a:
Ba2Sb3Pt2: relaxed, PBE-GGA.

total magnetization	0.000	μB/f.u.

a b c (Å): 4.361 23.917 8.441
angles (deg): 90.00 90.00 90.00
Space group Cmcm (No. 63)
Symmetry-distinct sites (fractional):
Ba  0.000  0.048  0.250 [4 per cell]
Ba  0.000  0.183  0.750 [4 per cell]
Sb  0.000  0.200  0.250 [4 per cell]
Sb  0.000  0.429  0.085 [8 per cell]
Pt  0.000  0.341  0.589 [8 per cell]

***

b:
Ba2Sb3Pt2: relaxed, PBE-GGA.

total magnetization	0.000	μB/f.u.

a b c (Å): 11.863 4.681 7.679
angles (deg): 90.00 110.54 90.00
Space group C2/m (No. 12)
Symmetry-distinct sites (fractional):
Ba  0.151  0.000  0.296 [4 per cell]
Sb  0.000  0.500  0.500 [2 per cell]
Sb  0.127  0.500  0.948 [4 per cell]
Pt  0.142  0.000  0.787 [4 per cell]

***

Which is most stable? The ranking, best first, is b, a.

***

a:
Ba3Sb3Pt2: relaxed, PBE-GGA.

total magnetization	0.000	μB/f.u.

a b c (Å): 4.597 12.646 17.870
angles (deg): 90.00 90.00 90.00
Space group Cmcm (No. 63)
Symmetry-distinct sites (fractional):
Ba  0.000  0.057  0.250 [4 per cell]
Ba  0.000  0.353  0.093 [8 per cell]
Sb  0.000  0.084  0.058 [8 per cell]
Sb  0.000  0.232  0.750 [4 per cell]
Pt  0.000  0.357  0.626 [8 per cell]

***

b:
Ba3Sb3Pt2: relaxed, PBE-GGA.

total magnetization	0.000	μB/f.u.

a b c (Å): 4.737 12.699 16.576
angles (deg): 90.00 90.00 90.00
Space group Cmcm (No. 63)
Symmetry-distinct sites (fractional):
Ba  0.000  0.074  0.105 [8 per cell]
Ba  0.000  0.361  0.250 [4 per cell]
Sb  0.000  0.333  0.750 [4 per cell]
Sb  0.000  0.344  0.039 [8 per cell]
Pt  0.000  0.222  0.601 [8 per cell]

***

Which is most stable? The ranking, best first, is a, b.

***

a:
Ba2SbPt2: relaxed, PBE-GGA.

total magnetization	0.000	μB/f.u.

a b c (Å): 10.586 6.245 8.773
angles (deg): 90.00 103.89 90.00
Space group C2/c (No. 15)
Symmetry-distinct sites (fractional):
Ba  0.148  0.138  0.149 [8 per cell]
Sb  0.000  0.369  0.750 [4 per cell]
Pt  0.138  0.369  0.490 [8 per cell]

***

b:
Ba2SbPt2: relaxed, PBE-GGA.

total magnetization	0.000	μB/f.u.

a b c (Å): 7.736 7.736 4.750
angles (deg): 90.00 90.00 90.00
Space group P4/mbm (No. 127)
Symmetry-distinct sites (fractional):
Ba  0.180  0.320  0.000 [4 per cell]
Sb  0.000  0.000  0.500 [2 per cell]
Pt  0.126  0.626  0.500 [4 per cell]

***

Which is most stable? The ranking, best first, is a, b.

***

a:
BaSbTe2Pt: relaxed, PBE-GGA.

total magnetization	0.000	μB/f.u.

a b c (Å): 5.723 5.723 5.044
angles (deg): 90.00 90.00 90.00
Space group P4/mmm (No. 123)
Symmetry-distinct sites (fractional):
Ba  0.000  0.000  0.000 [1 per cell]
Sb  0.500  0.500  0.000 [1 per cell]
Te  0.000  0.500  0.500 [2 per cell]
Pt  0.500  0.500  0.500 [1 per cell]

***

b:
BaSbTe2Pt: relaxed, PBE-GGA.

total magnetization	1.215	μB/f.u.

a b c (Å): 6.331 6.331 6.372
angles (deg): 90.00 90.00 90.00
Space group P4/mmm (No. 123)
Symmetry-distinct sites (fractional):
Ba  0.000  0.000  0.000 [1 per cell]
Sb  0.000  0.000  0.500 [1 per cell]
Te  0.000  0.500  0.000 [2 per cell]
Pt  0.500  0.500  0.500 [1 per cell]

***

Which is most stable? The ranking, best first, is a, b.

***

a:
BaScPt: relaxed, PBE-GGA.

total magnetization	0.000	μB/f.u.

a b c (Å): 4.2821 4.2821 6.1904
angles (deg): 90.00 90.00 120.00
Space group P3m1 (No. 156)
Symmetry-distinct sites (fractional):
Ba  0.0000  0.0000  0.0000 [1 per cell]
Sc  0.6667  0.3333  0.4888 [1 per cell]
Pt  0.3333  0.6667  0.3436 [1 per cell]

***

b:
BaScPt: relaxed, PBE-GGA.

total magnetization	0.000	μB/f.u.

a b c (Å): 3.619 3.619 12.953
angles (deg): 90.00 90.00 90.00
Space group I4mm (No. 107)
Symmetry-distinct sites (fractional):
Ba  0.000  0.000  0.000 [2 per cell]
Sc  0.000  0.000  0.738 [2 per cell]
Pt  0.000  0.000  0.316 [2 per cell]

***

c:
BaScPt: relaxed, PBE-GGA.

total magnetization	0.000	μB/f.u.

a b c (Å): 4.509 4.509 9.556
angles (deg): 90.00 90.00 90.00
Space group P4/nmm (No. 129, origin choice 2)
Symmetry-distinct sites (fractional):
Ba  0.250  0.250  0.177 [2 per cell]
Sc  0.250  0.750  0.500 [2 per cell]
Pt  0.250  0.250  0.659 [2 per cell]

***

d:
BaScPt: relaxed, PBE-GGA.

total magnetization	0.000	μB/f.u.

a b c (Å): 6.987 6.987 6.987
angles (deg): 90.00 90.00 90.00
Space group F-43m (No. 216)
Symmetry-distinct sites (fractional):
Ba  0.000  0.000  0.000 [4 per cell]
Sc  0.250  0.250  0.750 [4 per cell]
Pt  0.250  0.250  0.250 [4 per cell]

***

Which is most stable? The ranking, best first, is c, b, a, d.